Density functional theory data (PBE) for crystalline BaScPt2 at its relaxed geometry.

Results
- D(E_F) (states/eV/cell) = 3.5
- volume (Å³/f.u.) = 94
- formation energy from the elements (eV/atom) = -0.466
- relative energy among the computed polymorphs (eV/f.u.) = 1.767

Unit cell a=6.133 b=6.133 c=6.133 alpha=146.78 beta=131.54 gamma=60.02
Sites, in units of the cell vectors:
1 Ba 0.244 0.744 0.500
2 Pt 0.969 0.969 0.000
3 Pt 0.743 0.243 0.500
4 Sc 0.544 0.544 0.000